Record 1
DFT (PBE) results for crystalline NaTl9Bi2 at its relaxed geometry.

```
12
Lattice="5.165 0.000 0.000 0.000 5.165 0.000 0.000 0.000 13.940" Properties=species:S:1:pos:R:3 pbc="T T T"
Tl 2.583 2.583 9.296
Tl 2.583 0.000 2.309
Tl 2.583 0.000 6.970
Tl 2.583 2.583 4.645
Tl 0.000 2.583 11.631
Tl 2.583 2.583 0.000
Tl 0.000 2.583 6.970
Tl 0.000 2.583 2.309
Tl 2.583 0.000 11.631
Bi 0.000 0.000 4.521
Bi 0.000 0.000 9.420
Na 0.000 0.000 0.000
```

Properties
Final energy, eV per atom: -2.58
Space-group type: No. 123



Record 2
DFT (PBE) results for crystalline Y4ErIn at its relaxed geometry.

```
6
Lattice="-4.718 1.914 1.260 -0.297 -3.373 4.009 3.301 5.139 4.582" Properties=species:S:1:pos:R:3 pbc="T T T"
Er 1.341 -0.800 6.282
Y 0.647 -0.431 3.104
Y 2.335 2.202 5.451
Y -1.864 -1.159 5.737
Y -0.172 1.471 8.087
In 0.782 4.411 7.199
```

Properties
Final energy, eV per atom: -5.18
Energy above the most stable polymorph in this dataset, meV per atom: 509
Space-group type: No. 12



Record 3
DFT (PBE) results for crystalline PmTeRu at its relaxed geometry.

```
12
Lattice="4.383 0.000 0.000 0.000 7.908 -0.901 0.000 -1.161 9.112" Properties=species:S:1:pos:R:3 pbc="T T T"
Ru 1.098 6.351 1.816
Ru 1.094 1.816 6.823
Ru 3.285 0.397 6.396
Ru 3.289 4.931 1.389
Te 3.285 3.219 6.085
Te 1.098 3.529 2.126
Te 3.289 -0.155 1.980
Te 1.094 6.902 6.232
Pm 3.288 2.407 -0.047
Pm 1.095 4.340 8.258
Pm 1.097 0.966 4.152
Pm 3.286 5.781 4.059
```

Properties
Final energy, eV per atom: -6.35
Raw formation energy, eV/atom: -0.624
Space-group type: No. 11



Record 4
DFT (PBE) results for crystalline Tb2Sc3Tl at its relaxed geometry.

```
6
Lattice="3.319 0.000 0.000 0.000 5.863 0.000 -1.659 -2.932 8.816" Properties=species:S:1:pos:R:3 pbc="T T T"
Sc 0.000 0.000 0.000
Sc 1.659 2.932 2.392
Sc 0.000 0.000 6.424
Tb 0.000 2.932 5.282
Tb 1.659 0.000 3.534
Tl 0.000 2.932 0.000
```

Properties
Final energy, eV per atom: -4.87
Energy above the most stable polymorph in this dataset, meV per atom: 277
Space-group type: No. 71



Record 5
DFT (PBE) results for crystalline SnHgSbPb at its relaxed geometry.

```
4
Lattice="4.219 0.010 -0.003 -2.095 3.662 0.003 -2.113 -1.228 8.774" Properties=species:S:1:pos:R:3 pbc="T T T"
Sb -1.365 3.240 0.805
Hg 0.731 -0.423 5.109
Pb 0.754 2.014 3.054
Sn 0.723 -0.418 7.994
```

Properties
Final energy, eV per atom: -2.93
Energy above the most stable polymorph in this dataset, meV per atom: 23
Raw formation energy, eV/atom: 0.103
Space-group type: No. 8



Record 6
DFT (PBE) results for crystalline TmH6Rh3 at its relaxed geometry.

```
10
Lattice="-1.980 1.944 -3.919 -2.769 -1.264 3.714 2.745 3.152 3.119" Properties=species:S:1:pos:R:3 pbc="T T T"
Rh 0.499 4.009 1.736
Rh 0.146 1.175 0.509
Rh -2.499 -0.140 1.193
H -1.602 1.306 0.320
H -1.581 0.215 2.833
H -1.179 2.264 -2.013
H 0.191 2.495 2.594
H -1.105 1.840 4.478
H -0.725 3.483 0.576
Tm -2.169 2.515 2.343
```

Properties
Final energy, eV per atom: -4.98
Space-group type: No. 146



Record 7
DFT (PBE) results for crystalline SmEr2AlS6 at its relaxed geometry.

```
10
Lattice="-2.639 4.701 -4.028 -6.118 -0.892 -2.655 -5.374 3.962 2.522" Properties=species:S:1:pos:R:3 pbc="T T T"
Sm -10.133 5.319 -4.020
S -9.457 4.349 -1.563
S -4.197 3.508 -2.321
S -7.720 1.152 -2.805
S -6.971 3.274 0.332
S -7.390 4.924 -4.772
S -6.737 6.193 -1.202
Er -6.904 3.709 -2.393
Er -5.255 3.832 2.292
Al -3.007 1.366 -2.057
```

Properties
Final energy, eV per atom: -5.97
Raw formation energy, eV/atom: -1.734
Space-group type: No. 146



Record 8
DFT (PBE) results for crystalline InCoSiTc2 at its relaxed geometry.

```
5
Lattice="-2.263 -0.815 -3.714 3.039 -3.521 -1.079 -2.555 -2.875 2.187" Properties=species:S:1:pos:R:3 pbc="T T T"
Co -0.889 -3.606 -1.303
In 1.520 -1.761 -0.539
Tc -1.131 -0.407 -1.857
Tc -1.277 -1.438 1.094
Si 0.000 0.000 0.000
```

Properties
Final energy, eV per atom: -5.95
Energy above the most stable polymorph in this dataset, meV per atom: 0
Raw formation energy, eV/atom: 1.254
Space-group type: No. 123